Record 1
Density functional theory data (PBE) for a geometry-optimized Ir2O5 structure.

extended XYZ file:
```
7
Lattice="-2.562 3.499 4.947 -0.099 0.837 6.524 2.799 2.430 -0.271" Properties=species:S:1:pos:R:3 pbc="T T T"
O -0.824 1.357 3.577
O 0.986 1.879 1.631
Ir -2.255 3.685 9.737
Ir 2.392 3.082 1.463
O -0.848 4.887 9.568
O 0.000 0.000 0.000
O 0.962 5.409 7.623
```

Computed properties:
M_tot = 0.0049 μB/atom
offset from the most stable computed form = 0 meV per atom

***

Record 2
Density functional theory data (PBE) for a geometry-optimized KAgTe3Mo structure.

extended XYZ file:
```
12
Lattice="4.459 2.939 -6.267 -5.963 -4.854 2.943 -7.195 8.012 -1.363" Properties=species:S:1:pos:R:3 pbc="T T T"
Te -3.274 4.207 -3.498
Mo 0.000 0.000 0.000
Te -7.002 -2.283 1.931
Te -5.424 1.889 -1.188
Te -2.209 -1.692 -0.579
Te -1.697 8.379 -6.617
K -8.900 2.993 -0.252
Te -6.490 7.788 -4.107
K 0.201 3.103 -4.434
Mo -3.597 4.006 -0.681
Ag -3.017 0.697 -1.591
Ag -5.682 5.399 -3.095
```

Computed properties:
M_tot = 0.3600 μB/atom
uncorrected energy = -51.1 eV per cell

***

Record 3
Density functional theory data (PBE) for a geometry-optimized GaPtPb structure.

extended XYZ file:
```
3
Lattice="0.939 -1.704 4.259 2.335 2.614 3.105 -2.215 1.718 3.750" Properties=species:S:1:pos:R:3 pbc="T T T"
Ga 0.265 0.657 2.778
Pt 0.794 1.971 8.335
Pb 0.000 0.000 0.000
```

Computed properties:
M_tot = 0.0008 μB/atom
uncorrected energy = -12.2 eV per cell

***

Record 4
Density functional theory data (PBE) for a geometry-optimized RbCoCuRe structure.

extended XYZ file:
```
4
Lattice="-2.641 -1.914 3.329 -3.364 -3.017 -1.141 0.472 -4.519 1.038" Properties=species:S:1:pos:R:3 pbc="T T T"
Re 0.000 0.000 0.000
Cu -4.150 -7.088 2.420
Rb -2.767 -4.725 1.613
Co -1.383 -2.363 0.807
```

Computed properties:
M_tot = 0.9777 μB/atom
offset from the most stable computed form = 0 meV per atom

***

Record 5
Density functional theory data (PBE) for a geometry-optimized GaOsW structure.

extended XYZ file:
```
3
Lattice="0.000 2.992 2.992 2.992 0.000 2.992 2.992 2.992 0.000" Properties=species:S:1:pos:R:3 pbc="T T T"
W 0.000 0.000 0.000
Ga 1.496 1.496 1.496
Os 4.488 4.488 4.488
```

Computed properties:
M_tot = 0.0004 μB/atom
offset from the most stable computed form = 307 meV per atom

***

Record 6
Density functional theory data (PBE) for a geometry-optimized GaPPd5 structure.

extended XYZ file:
```
7
Lattice="-2.438 -3.092 -0.089 2.108 -1.578 -2.929 3.946 -3.244 4.587" Properties=species:S:1:pos:R:3 pbc="T T T"
Pd 1.577 -3.844 3.205
Pd 2.205 -1.735 -0.127
P 1.973 -1.622 2.293
Pd -0.068 -2.492 1.293
Ga -0.165 -2.335 -1.509
Pd 3.850 -3.087 1.785
Pd 0.000 0.000 0.000
```

Computed properties:
uncorrected energy = -38.3 eV per cell

***

Record 7
Density functional theory data (PBE) for a geometry-optimized Dy4SnGe4Pd2 structure.

extended XYZ file:
```
11
Lattice="7.965 -2.144 0.000 7.965 2.144 0.000 -2.196 0.000 6.849" Properties=species:S:1:pos:R:3 pbc="T T T"
Dy 8.529 0.000 2.615
Ge 14.196 0.000 2.343
Ge 2.567 0.000 1.671
Dy 8.406 0.000 6.343
Ge 11.166 0.000 5.178
Pd 2.071 0.000 4.337
Dy 5.205 0.000 4.234
Ge -0.462 0.000 4.506
Sn 0.000 0.000 0.000
Dy 5.327 0.000 0.506
Pd 11.662 0.000 2.512
```

Computed properties:
M_tot = 0.0010 μB/atom
uncorrected energy = -60.9 eV per cell

***

Record 8
Density functional theory data (PBE) for a geometry-optimized LuMgTe3Pb structure.

extended XYZ file:
```
12
Lattice="0.597 -1.132 9.552 -0.934 -4.914 8.238 8.831 -2.446 -3.245" Properties=species:S:1:pos:R:3 pbc="T T T"
Te 2.957 -4.876 10.588
Lu 5.120 -2.489 1.199
Mg 2.346 -3.624 7.695
Te 6.919 -6.083 9.446
Te 4.415 -1.223 -1.622
Mg 6.148 -4.869 6.851
Te 1.575 -2.410 5.099
Pb 0.371 -0.917 2.206
Te 5.537 -3.617 3.958
Lu 3.374 -6.004 13.347
Pb 8.122 -7.576 12.339
Te -0.168 -3.023 8.895
```

Computed properties:
M_tot = 0.0027 μB/atom
offset from the most stable computed form = 36 meV per atom